No. 1
Computed, not measured: a relaxed structure of TaCo2HIr at the PBE level of DFT.

Output
**Density**: 14.91 Mg/m³
**VASP energy**: -39.77 eV for the cell shown
**Distance to the lowest polymorph of the same formula**: 0.000 eV per formula unit

```
5
Lattice="3.799 0.000 0.000 0.000 3.799 0.000 0.000 0.000 3.798" Properties=species:S:1:pos:R:3 pbc="T T T"
Ir 0.000 0.000 1.899
Co 0.000 1.899 0.000
H 0.000 0.000 0.000
Ta 1.899 1.899 1.899
Co 1.899 0.000 0.000
```

=====

No. 2
Computed, not measured: a relaxed structure of TaCo2HIr at the PBE level of DFT.

Output
**Density**: 14.85 Mg/m³
**VASP energy**: -39.60 eV for the cell shown
**Distance to the lowest polymorph of the same formula**: 0.166 eV per formula unit

```
5
Lattice="3.734 0.000 0.000 0.000 3.734 0.000 0.000 0.000 3.945" Properties=species:S:1:pos:R:3 pbc="T T T"
H 0.000 0.000 0.000
Co 1.867 0.000 0.000
Ir 1.867 1.867 1.973
Co 0.000 1.867 0.000
Ta 0.000 0.000 1.973
```